The following is a DFT calculation (PBE-GGA) of crystalline VIrRu6 at its relaxed geometry.

a b c (Å): 3.828 7.631 7.637
angles (deg): 90.00 90.00 90.00
Space group Amm2 (No. 38)
Inequivalent atoms, fractional coordinates:
V1 0.000 0.000 0.000 x2
Ir1 0.500 0.000 0.754 x2
Ru1 0.000 0.000 0.497 x2
Ru2 0.000 0.248 0.250 x4
Ru3 0.500 0.000 0.252 x2
Ru4 0.500 0.249 0.002 x4

Summary:
D(E_F): 16.22 states/eV per cell
Total energy: -74.04 eV/f.u.
Formation energy from the elements: -0.051 eV/atom

The following is a DFT calculation (PBE-GGA) of crystalline Li3LaTl at its relaxed geometry.

a b c (Å): 5.770 5.770 5.770
angles (deg): 90.00 90.00 90.00
Space group Pm-3m (No. 221)
Inequivalent atoms, fractional coordinates:
Li1 0.000 0.000 0.500 x3
La1 0.000 0.000 0.000 x1
Tl1 0.500 0.500 0.500 x1

Summary:
D(E_F): 5.38 states/eV per cell
Total energy: -8.28 eV/f.u.
Formation energy from the elements: 0.951 eV/atom
E above lowest polymorph: 1.063 eV/atom

The following is a DFT calculation (PBE-GGA) of crystalline Sm7Dy4Ho at its relaxed geometry.

a b c (Å): 6.273 7.238 8.927
angles (deg): 89.99 76.47 89.99
Space group P-1 (No. 2)
Inequivalent atoms, fractional coordinates:
Sm1 0.000 0.000 0.000 x1
Sm2 0.222 0.500 0.334 x2
Sm3 0.279 0.751 0.666 x2
Sm4 0.499 0.249 0.999 x2
Dy1 0.221 0.000 0.335 x2
Dy2 0.278 0.249 0.667 x2
Ho1 0.000 0.500 0.000 x1

Summary:
D(E_F): 15.12 states/eV per cell
Total energy: -55.98 eV/f.u.
Formation energy from the elements: 0.003 eV/atom
E above lowest polymorph: 0.000 eV/atom

The following is a DFT calculation (PBE-GGA) of crystalline RbLi2CN2 at its relaxed geometry.

a b c (Å): 5.160 14.414 3.357
angles (deg): 90.00 90.00 90.00
Space group Pnnm (No. 58)
Inequivalent atoms, fractional coordinates:
Rb1 0.000 0.000 0.000 x2
Li1 0.002 0.334 0.500 x4
C1 0.000 0.500 0.000 x2
N1 0.002 0.414 0.000 x4

Summary:
D(E_F): 2.03 states/eV per cell
Total energy: -32.77 eV/f.u.
Raw formation energy: -351 meV/atom